(1)
Compound: SmLuCoPt
Source: Alexandria via LeMat-Bulk
Functional: PBE
Structure: relaxed

Cell lengths 4.8529, 4.8529, 4.8529 Å; angles 60.00, 60.00, 60.00 degrees
Site moments in Bohr magnetons follow the coordinates.
Atoms (fractional coordinates):
Lu1 0.0000 0.0000 0.0000  -0.09
Co1 0.7500 0.7500 0.7500  0.66
Pt1 0.2500 0.2500 0.2500  0.02
Sm1 0.5000 0.5000 0.5000  -0.07

E_form	-0.63	eV/atom
energy	-6.230	eV per atom
space group	F-43m (216)
DOS(E_F)	2.821	states/eV/f.u.

(2)
Compound: Ac4CoNi3
Source: Alexandria via LeMat-Bulk
Functional: PBE
Structure: relaxed

Cell lengths 4.0631, 4.1941, 12.1573 Å; angles 90.00, 90.00, 90.00 degrees
Atoms (fractional coordinates):
Ni1 0.0000 0.5000 0.5591
Ni2 0.0000 0.0000 0.4367
Ni3 0.5000 0.0000 0.9467
Ac1 0.5000 0.5000 0.3634
Ac2 0.0000 0.5000 0.8682
Ac3 0.0000 0.0000 0.1347
Ac4 0.5000 0.0000 0.6309
Co1 0.5000 0.5000 0.0604

E_form	-0.17	eV/atom
energy	-5.284	eV per atom
space group	Pmm2 (25)
DOS(E_F)	7.318	states/eV/f.u.

(3)
Compound: Zn2AgMoPt
Source: Alexandria via LeMat-Bulk
Functional: PBE
Structure: relaxed

Cell lengths 4.7856, 4.9681, 4.7856 Å; angles 90.00, 90.00, 90.00 degrees
Site moments in Bohr magnetons follow the coordinates.
Atoms (fractional coordinates):
Zn1 0.0000 0.0000 0.5000  0.03
Zn2 0.5000 0.0000 0.0000  0.04
Mo1 0.0000 0.0000 0.0000  1.07
Ag1 0.0000 0.5000 0.0000  0.06
Pt1 0.5000 0.5000 0.5000  0.12

E_form	1.56	eV/atom
energy	-2.892	eV per atom
space group	P4/mmm (123)
DOS(E_F)	5.321	states/eV/f.u.

(4)
Compound: TcHOF2
Source: Alexandria via LeMat-Bulk
Functional: PBE
Structure: relaxed

Cell lengths 3.1395, 3.1395, 4.3593 Å; angles 90.00, 90.00, 90.00 degrees
Site moments in Bohr magnetons follow the coordinates.
Atoms (fractional coordinates):
H1 0.0000 0.0000 0.0000  0.00
Tc1 0.5000 0.5000 0.5000  3.13
O1 0.0000 0.0000 0.5000  0.11
F1 0.0000 0.5000 0.0000  0.08
F2 0.5000 0.0000 0.0000  0.08

energy	-4.935	eV per atom
space group	P4/mmm (123)
DOS(E_F)	1.111	states/eV/f.u.

(5)
Compound: Pr2HoTl
Source: Alexandria via LeMat-Bulk
Functional: PBE
Structure: relaxed

Cell lengths 6.2453, 8.1286, 10.0665 Å; angles 89.99, 90.00, 90.00 degrees
Atoms (fractional coordinates):
Pr1 0.7498 0.9253 0.9414
Pr2 0.2502 0.0747 0.0586
Pr3 0.2498 0.5747 0.5586
Pr4 0.7502 0.4253 0.4414
Pr5 0.7500 0.4254 0.0585
Pr6 0.2500 0.5746 0.9415
Pr7 0.2500 0.0746 0.4415
Pr8 0.7500 0.9254 0.5585
Ho1 0.2496 0.4077 0.2501
Ho2 0.7504 0.5923 0.7499
Ho3 0.7496 0.0923 0.2499
Ho4 0.2504 0.9077 0.7501
Tl1 0.9996 0.2501 0.7489
Tl2 0.0004 0.7499 0.2511
Tl3 0.4996 0.2499 0.7511
Tl4 0.5004 0.7501 0.2489

E_form	-0.12	eV/atom
energy	-4.242	eV per atom
space group	P2_1/c (14)
DOS(E_F)	5.152	states/eV/f.u.

(6)
Compound: NdY6Ho
Source: Alexandria via LeMat-Bulk
Functional: PBE
Structure: relaxed

Cell lengths 6.7985, 6.5777, 6.9722 Å; angles 103.17, 61.25, 89.80 degrees
Atoms (fractional coordinates):
Nd1 0.0000 0.0000 0.0000
Y1 0.0949 0.7288 0.4751
Y2 0.5770 0.7663 0.5156
Y3 0.4230 0.2337 0.4844
Y4 0.9051 0.2712 0.5249
Y5 0.5471 0.7473 0.9975
Y6 0.4529 0.2527 0.0025
Ho1 0.0000 0.5000 0.0000

E_form	0.20	eV/atom
energy	-5.814	eV per atom
space group	P-1 (2)
DOS(E_F)	14.767	states/eV/f.u.

(7)
Compound: AcLuAl
Source: Alexandria via LeMat-Bulk
Functional: PBE
Structure: relaxed

Cell lengths 3.9321, 5.2372, 5.2372 Å; angles 120.00, 90.00, 90.00 degrees
Atoms (fractional coordinates):
Ac1 0.6671 0.3333 0.6667
Lu1 0.1680 0.6667 0.3333
Al1 0.1648 0.0000 0.0000

E_form	-0.08	eV/atom
energy	-4.200	eV per atom
space group	P3m1 (156)
DOS(E_F)	1.966	states/eV/f.u.

(8)
Compound: Re2RuPt
Source: Alexandria via LeMat-Bulk
Functional: PBE
Structure: relaxed

Cell lengths 4.4132, 4.4132, 4.4132 Å; angles 60.00, 60.00, 60.00 degrees
Site moments in Bohr magnetons follow the coordinates.
Atoms (fractional coordinates):
Re1 0.2500 0.2500 0.2500  0.02
Re2 0.7500 0.7500 0.7500  0.02
Pt1 0.5000 0.5000 0.5000  0.01
Ru1 0.0000 0.0000 0.0000  0.64

E_form	0.57	eV/atom
energy	-9.487	eV per atom
space group	Fm-3m (225)
DOS(E_F)	5.022	states/eV/f.u.

(9)
Compound: LaAg2
Source: Alexandria via LeMat-Bulk
Functional: PBE
Structure: relaxed

Cell lengths 4.6490, 4.6490, 13.6652 Å; angles 99.79, 99.79, 90.00 degrees
Atoms (fractional coordinates):
Ag1 0.2477 0.2477 0.4955
Ag2 0.7523 0.7523 0.5045
Ag3 0.4977 0.9977 0.9955
Ag4 0.0023 0.5023 0.0045
Ag5 0.4310 0.4310 0.8620
Ag6 0.5690 0.5690 0.1380
Ag7 0.6810 0.1810 0.3620
Ag8 0.8190 0.3190 0.6380
La1 0.0844 0.0844 0.1689
La2 0.9156 0.9156 0.8311
La3 0.3344 0.8344 0.6689
La4 0.1656 0.6656 0.3311

E_form	-0.11	eV/atom
energy	-3.657	eV per atom
space group	I4_1/amd (141)
DOS(E_F)	1.914	states/eV/f.u.

(10)
Compound: Ta3NbH
Source: Alexandria via LeMat-Bulk
Functional: PBE
Structure: relaxed

Cell lengths 5.5640, 5.8067, 5.5727 Å; angles 79.93, 63.18, 99.94 degrees
Atoms (fractional coordinates):
Ta1 0.1955 0.1298 0.6159
Ta2 0.7184 0.3843 0.6191
Ta3 0.7180 0.6374 0.0975
Ta4 0.7228 0.1432 0.1098
Ta5 0.2003 0.6356 0.6281
Ta6 0.1999 0.8887 0.1065
Nb1 0.7120 0.8886 0.6110
Nb2 0.2063 0.3844 0.1147
H1 0.4629 0.4471 0.4832
H2 0.4554 0.8259 0.2424

energy	-9.890	eV per atom
space group	P-1 (2)
DOS(E_F)	4.402	states/eV/f.u.

(11)
Compound: HfSnSb3
Source: Alexandria via LeMat-Bulk
Functional: PBE
Structure: relaxed

Cell lengths 5.5150, 5.5150, 5.5150 Å; angles 90.00, 90.00, 90.00 degrees
Atoms (fractional coordinates):
Sb1 0.0000 0.5000 0.0000
Sb2 0.0000 0.0000 0.5000
Sb3 0.5000 0.0000 0.0000
Hf1 0.0000 0.0000 0.0000
Sn1 0.5000 0.5000 0.5000

raw formation energy	293.1	meV per atom
energy	-4.972	eV per atom
space group	Pm-3m (221)
DOS(E_F)	3.583	states/eV/f.u.

(12)
Compound: RbSBr
Source: Alexandria via LeMat-Bulk
Functional: PBE
Structure: relaxed

Cell lengths 4.8929, 4.8929, 11.5081 Å; angles 87.04, 87.04, 89.95 degrees
Site moments in Bohr magnetons follow the coordinates.
Atoms (fractional coordinates):
Rb1 0.7677 0.7677 0.8481  0.00
Rb2 0.2323 0.2323 0.1519  0.00
S1 0.0945 0.0945 0.5565  0.57
S2 0.9055 0.9055 0.4435  0.57
Br1 0.2687 0.2687 0.8488  0.01
Br2 0.7313 0.7313 0.1512  0.01

raw formation energy	-959.5	meV per atom
energy	-3.216	eV per atom
space group	C2/m (12)

(13)
Compound: PmBiPt
Source: Alexandria via LeMat-Bulk
Functional: PBE
Structure: relaxed

Cell lengths 5.0455, 5.0455, 8.1762 Å; angles 72.03, 72.03, 60.00 degrees
Atoms (fractional coordinates):
Pt1 0.2535 0.2535 0.2395
Pt2 0.7465 0.7465 0.7605
Pm1 0.3814 0.3814 0.8557
Pm2 0.6186 0.6186 0.1443
Bi1 0.8829 0.8829 0.3513
Bi2 0.1171 0.1171 0.6487

E_form	-0.71	eV/atom
energy	-5.601	eV per atom
space group	R-3m (166)
DOS(E_F)	1.975	states/eV/f.u.

(14)
Compound: Li6Tl5Au
Source: Alexandria via LeMat-Bulk
Functional: PBE
Structure: relaxed

Cell lengths 4.8390, 6.7489, 8.4101 Å; angles 113.66, 106.72, 90.00 degrees
Atoms (fractional coordinates):
Tl1 0.6692 0.1692 0.3384
Tl2 0.3344 0.3344 0.6689
Tl3 0.0000 0.5000 0.0000
Tl4 0.6656 0.6656 0.3311
Tl5 0.3308 0.8308 0.6616
Au1 0.0000 0.0000 0.0000
Li1 0.8421 0.6049 0.6842
Li2 0.8421 0.0793 0.6842
Li3 0.5000 0.7732 0.0000
Li4 0.5000 0.2268 0.0000
Li5 0.1579 0.9207 0.3158
Li6 0.1579 0.3951 0.3158

E_form	-0.28	eV/atom
energy	-2.492	eV per atom
space group	Immm (71)
DOS(E_F)	3.638	states/eV/f.u.

(15)
Compound: InBi2PRh
Source: Alexandria via LeMat-Bulk
Functional: PBE
Structure: relaxed

Cell lengths 5.2559, 5.0686, 5.2559 Å; angles 90.00, 90.00, 90.00 degrees
Atoms (fractional coordinates):
P1 0.5000 0.5000 0.5000
Rh1 0.0000 0.0000 0.0000
Bi1 0.0000 0.0000 0.5000
Bi2 0.5000 0.0000 0.0000
In1 0.0000 0.5000 0.0000

E_form	0.39	eV/atom
energy	-4.263	eV per atom
space group	P4/mmm (123)
DOS(E_F)	2.551	states/eV/f.u.

(16)
Compound: U3AsSe6
Source: Alexandria via LeMat-Bulk
Functional: PBE
Structure: relaxed

Cell lengths 6.9254, 8.8766, 8.8766 Å; angles 105.08, 90.00, 90.00 degrees
Site moments in Bohr magnetons follow the coordinates.
Atoms (fractional coordinates):
U1 0.4494 0.9406 0.7189  1.86
U2 0.9494 0.7189 0.9406  1.86
U3 0.3573 0.4011 0.5989  1.96
U4 0.8573 0.5989 0.4011  1.96
U5 0.9494 0.0594 0.2811  1.86
U6 0.4494 0.2811 0.0594  1.86
As1 0.1348 0.1372 0.8628  -0.12
As2 0.6348 0.8628 0.1372  -0.12
Se1 0.1467 0.7001 0.6377  -0.08
Se2 0.6467 0.6377 0.7001  -0.08
Se3 0.2166 0.4756 0.9083  -0.10
Se4 0.7166 0.9083 0.4756  -0.10
Se5 0.2541 0.9703 0.0297  -0.06
Se6 0.6139 0.2443 0.7557  -0.12
Se7 0.1139 0.7557 0.2443  -0.12
Se8 0.7541 0.0297 0.9703  -0.06
Se9 0.2166 0.0917 0.5244  -0.10
Se10 0.7166 0.5244 0.0917  -0.10
Se11 0.1467 0.3623 0.2999  -0.08
Se12 0.6467 0.2999 0.3623  -0.08

raw formation energy	-880.9	meV per atom
energy	-6.823	eV per atom
space group	Cmc2_1 (36)
DOS(E_F)	17.808	states/eV/f.u.

(17)
Compound: In2Pd9Pt
Source: Alexandria via LeMat-Bulk
Functional: PBE
Structure: relaxed

Cell lengths 4.0032, 4.0032, 12.0423 Å; angles 90.00, 90.00, 90.00 degrees
Atoms (fractional coordinates):
In1 0.0000 0.0000 0.3313
In2 0.0000 0.0000 0.6687
Pd1 0.5000 0.5000 0.0000
Pd2 0.5000 0.5000 0.3307
Pd3 0.5000 0.5000 0.6693
Pd4 0.5000 0.0000 0.1632
Pd5 0.5000 0.0000 0.5000
Pd6 0.5000 0.0000 0.8368
Pd7 0.0000 0.5000 0.1632
Pd8 0.0000 0.5000 0.5000
Pd9 0.0000 0.5000 0.8368
Pt1 0.0000 0.0000 0.0000

E_form	-0.30	eV/atom
energy	-5.152	eV per atom
space group	P4/mmm (123)
DOS(E_F)	16.299	states/eV/f.u.

(18)
Compound: PmNdTlAu
Source: Alexandria via LeMat-Bulk
Functional: PBE
Structure: relaxed

Cell lengths 3.7208, 3.7208, 7.9585 Å; angles 90.00, 90.00, 90.00 degrees
Atoms (fractional coordinates):
Pm1 0.0000 0.0000 0.8352
Nd1 0.0000 0.0000 0.3761
Tl1 0.5000 0.5000 0.1040
Au1 0.5000 0.5000 0.6127

E_form	-0.58	eV/atom
energy	-4.366	eV per atom
space group	P4mm (99)
DOS(E_F)	3.334	states/eV/f.u.

(19)
Compound: LiMgAu2F
Source: Alexandria via LeMat-Bulk
Functional: PBE
Structure: relaxed

Cell lengths 5.0719, 3.3329, 5.0719 Å; angles 90.00, 90.00, 90.00 degrees
Atoms (fractional coordinates):
Mg1 0.5000 0.5000 0.5000
Li1 0.0000 0.0000 0.0000
Au1 0.0000 0.0000 0.5000
Au2 0.5000 0.0000 0.0000
F1 0.0000 0.5000 0.0000

raw formation energy	-799.7	meV per atom
energy	-3.187	eV per atom
space group	P4/mmm (123)
DOS(E_F)	1.123	states/eV/f.u.

(20)
Compound: EuCuPb
Source: Alexandria via LeMat-Bulk
Functional: PBE
Structure: relaxed

Cell lengths 3.8455, 4.7951, 4.7951 Å; angles 120.00, 90.00, 90.00 degrees
Site moments in Bohr magnetons follow the coordinates.
Atoms (fractional coordinates):
Pb1 0.1668 0.3333 0.6667  -0.02
Eu1 0.6667 0.6667 0.3333  6.82
Cu1 0.1665 0.0000 0.0000  -0.02

E_form	-0.30	eV/atom
energy	-6.328	eV per atom
space group	P-6m2 (187)
DOS(E_F)	9.034	states/eV/f.u.